# 1
This record from the Open Quantum Materials Database describes a relaxed LiHfTh crystal. The functional is GGA-PBE.

```
3
Lattice="0.0000 3.4566 3.4566 3.4566 0.0000 3.4566 3.4566 3.4566 0.0000" Properties=species:S:1:pos:R:3 pbc="T T T"
Li 0.0000 0.0000 0.0000
Hf 1.7283 1.7283 1.7283
Th 3.4566 3.4566 3.4566
```

E_tot = -16.06 eV per cell
space group = No. 216



# 2
This record from the Open Quantum Materials Database describes a relaxed LiHf2Tl crystal. The functional is GGA-PBE.

```
4
Lattice="0.0000 3.5108 3.5108 3.5108 0.0000 3.5108 3.5108 3.5108 0.0000" Properties=species:S:1:pos:R:3 pbc="T T T"
Li 0.0000 0.0000 0.0000
Hf 1.7554 1.7554 1.7554
Hf 3.5108 3.5108 3.5108
Tl 5.2661 5.2661 5.2661
```

E_tot = -22.71 eV per cell
space group = No. 216



# 3
This record from the Open Quantum Materials Database describes a relaxed LiHfTl crystal. The functional is GGA-PBE.

```
3
Lattice="0.0000 3.2867 3.2867 3.2867 0.0000 3.2867 3.2867 3.2867 0.0000" Properties=species:S:1:pos:R:3 pbc="T T T"
Li 0.0000 0.0000 0.0000
Hf 3.2867 3.2867 3.2867
Tl 4.9300 4.9300 4.9300
```

E above lowest polymorph = 0.0000 eV/atom
E_tot = -13.20 eV per cell
space group = No. 216



# 4
This record from the Open Quantum Materials Database describes a relaxed LiHfW crystal. The functional is GGA-PBE.

```
3
Lattice="0.0000 2.9691 2.9691 2.9691 0.0000 2.9691 2.9691 2.9691 0.0000" Properties=species:S:1:pos:R:3 pbc="T T T"
Li 0.0000 0.0000 0.0000
Hf 4.4537 4.4537 4.4537
W 1.4846 1.4846 1.4846
```

E above lowest polymorph = 0.0000 eV/atom
E_tot = -21.63 eV per cell
space group = No. 216



# 5
This record from the Open Quantum Materials Database describes a relaxed LiYHf2 crystal. The functional is GGA-PBE.

```
4
Lattice="0.0000 3.5689 3.5689 3.5689 0.0000 3.5689 3.5689 3.5689 0.0000" Properties=species:S:1:pos:R:3 pbc="T T T"
Li 0.0000 0.0000 0.0000
Y 1.7845 1.7845 1.7845
Hf 3.5689 3.5689 3.5689
Hf 5.3534 5.3534 5.3534
```

E_tot = -26.85 eV per cell
space group = No. 216



# 6
This record from the Open Quantum Materials Database describes a relaxed LiHfZn crystal. The functional is GGA-PBE.

```
3
Lattice="0.0000 3.1225 3.1225 3.1225 0.0000 3.1225 3.1225 3.1225 0.0000" Properties=species:S:1:pos:R:3 pbc="T T T"
Li 0.0000 0.0000 0.0000
Hf 1.5613 1.5613 1.5613
Zn 3.1225 3.1225 3.1225
```

E_tot = -10.84 eV per cell
space group = No. 216



Please write out number 2 again, unchanged.
This record from the Open Quantum Materials Database describes a relaxed LiHf2Tl crystal. The functional is GGA-PBE.

```
4
Lattice="0.0000 3.5108 3.5108 3.5108 0.0000 3.5108 3.5108 3.5108 0.0000" Properties=species:S:1:pos:R:3 pbc="T T T"
Li 0.0000 0.0000 0.0000
Hf 1.7554 1.7554 1.7554
Hf 3.5108 3.5108 3.5108
Tl 5.2661 5.2661 5.2661
```

E_tot = -22.71 eV per cell
space group = No. 216